Crystalline Nd2DyMg2 at its relaxed geometry, computed with PBE-GGA.

ΔH_f (0 K) = 37 meV/atom
V = 30.73 Å³/atom
electronic total energy = -3.4281 eV/atom
crystal system = orthorhombic

Cell lengths 5.2527, 6.0412, 6.0412 Å; angles 71.82, 64.23, 64.23 degrees
Sites, in units of the cell vectors:
Mg 0.5000 0.7084 0.2916
Mg 0.5000 0.2916 0.7084
Nd 0.1945 0.3055 0.3055
Nd 0.8055 0.6945 0.6945
Dy 0.0000 0.0000 0.0000

---

Crystalline Nd5Dy4Mg2 at its relaxed geometry, computed with PBE-GGA.

ΔH_f (0 K) = 55 meV/atom
V = 32.16 Å³/atom
electronic total energy = -4.0761 eV/atom
crystal system = monoclinic

Cell lengths 3.5529, 8.8555, 13.9858 Å; angles 125.51, 97.30, 90.00 degrees
Sites, in units of the cell vectors:
Nd 0.5000 0.0000 0.0000
Nd 0.1828 0.8911 0.3656
Nd 0.1334 0.1691 0.2668
Nd 0.8172 0.1089 0.6344
Nd 0.8666 0.8309 0.7332
Dy 0.2897 0.3994 0.5795
Dy 0.9266 0.5716 0.8532
Dy 0.0734 0.4284 0.1468
Dy 0.7103 0.6006 0.4205
Mg 0.4467 0.2735 0.8933
Mg 0.5533 0.7265 0.1067

---

Crystalline Nd3DyMg2 at its relaxed geometry, computed with PBE-GGA.

ΔH_f (0 K) = -55 meV/atom
V = 30.83 Å³/atom
electronic total energy = -3.7379 eV/atom
crystal system = tetragonal

Cell lengths 3.7999, 3.7999, 12.8116 Å; angles 90.00, 90.00, 90.00 degrees
Sites, in units of the cell vectors:
Nd 0.0000 0.0000 0.6898
Nd 0.0000 0.0000 0.0000
Nd 0.0000 0.0000 0.3102
Dy 0.5000 0.5000 0.5000
Mg 0.5000 0.5000 0.8454
Mg 0.5000 0.5000 0.1546

---

Crystalline Nd2Dy2Mg3 at its relaxed geometry, computed with PBE-GGA.

ΔH_f (0 K) = 25 meV/atom
V = 29.83 Å³/atom
electronic total energy = -3.3360 eV/atom
crystal system = triclinic

Cell lengths 3.5633, 7.0589, 9.4849 Å; angles 114.36, 89.97, 104.64 degrees
Sites, in units of the cell vectors:
Dy 0.8856 0.7721 0.5390
Dy 0.1144 0.2279 0.4610
Mg 0.6717 0.3403 0.2133
Mg 0.0000 0.0000 0.0000
Mg 0.3283 0.6597 0.7867
Nd 0.6277 0.2572 0.8126
Nd 0.3723 0.7428 0.1874